(1)
The following is a PBE calculation of crystalline TbPm4Dy at its relaxed geometry, from Alexandria.

Cell: 9.4127 9.4127 9.4127 Å, 90.00 90.00 90.00°
Closest atoms and distances in Å follow each position.
Space group F-43m (No. 216)
Inequivalent atoms, fractional coordinates:
1 Tb 0.0000 0.0000 0.0000 (multiplicity 4)  12 Pm 3.90, 4 Dy 4.08
2 Pm 0.1249 0.1249 0.3751 (multiplicity 16)  6 Pm 3.33
3 Dy 0.2500 0.2500 0.7500 (multiplicity 4)  12 Pm 3.90, 4 Tb 4.08

Summary:
Calculated total energy, eV/atom: -4.444
Total magnetization, μB per formula unit: 0.00
ΔE to the lowest computed polymorph, meV per atom: 248.4

***

(2)
The following is a PBE calculation of crystalline Tb12Pm7Dy at its relaxed geometry, from Alexandria.

Cell: 12.0259 12.0259 16.2231 Å, 90.00 90.00 120.00°
Closest atoms and distances in Å follow each position.
Space group R-3 (No. 148, hexagonal axes)
Inequivalent atoms, fractional coordinates:
1 Tb 0.0251 0.5752 0.2226 (multiplicity 18)  4 Tb 3.26-3.64, 1 Dy 3.42, 2 Pm 3.52-3.61
2 Tb 0.0514 0.4650 0.5824 (multiplicity 18)  4 Tb 3.23-3.43, 2 Pm 3.32-3.49
3 Pm 0.0000 0.0000 0.0000 (multiplicity 3)  6 Tb 3.32
4 Pm 0.0562 0.8677 0.2899 (multiplicity 18)  3 Pm 3.45-3.49, 7 Tb 3.49-3.82
5 Dy 0.0000 0.0000 0.5000 (multiplicity 3)  6 Tb 3.42

Summary:
Calculated total energy, eV/atom: -4.438
Total magnetization, μB per formula unit: 0.00
ΔE to the lowest computed polymorph, meV per atom: 0.0

***

(3)
The following is a PBE calculation of crystalline TbPm10Dy4 at its relaxed geometry, from Alexandria.

Cell: 12.3167 12.3167 7.7706 Å, 90.00 90.00 90.00°
Closest atoms and distances in Å follow each position.
Space group I4/m (No. 87)
Inequivalent atoms, fractional coordinates:
1 Tb 0.0000 0.0000 0.0000 (multiplicity 2)  8 Pm 3.37
2 Pm 0.0000 0.5000 0.2500 (multiplicity 4)  4 Dy 3.37
3 Pm 0.0997 0.7996 0.2502 (multiplicity 16)  3 Dy 3.37, 1 Tb 3.37
4 Dy 0.1003 0.2997 0.5000 (multiplicity 8)  8 Pm 3.37

Summary:
Calculated total energy, eV/atom: -4.000
Total magnetization, μB per formula unit: 0.00

***

(4)
The following is a PBE calculation of crystalline TbPmDy6 at its relaxed geometry, from Alexandria.

Cell: 5.0315 5.0315 10.0577 Å, 90.00 90.00 90.00°
Closest atoms and distances in Å follow each position.
Space group P4/mmm (No. 123)
Inequivalent atoms, fractional coordinates:
1 Tb 0.0000 0.0000 0.0000 (multiplicity 1)  12 Dy 3.55-3.56
2 Pm 0.0000 0.0000 0.5000 (multiplicity 1)  12 Dy 3.56-3.57
3 Dy 0.0000 0.5000 0.2485 (multiplicity 4)  2 Tb 3.55, 8 Dy 3.55-3.57, 2 Pm 3.57
4 Dy 0.5000 0.5000 0.0000 (multiplicity 1)  8 Dy 3.55, 4 Tb 3.56
5 Dy 0.5000 0.5000 0.5000 (multiplicity 1)  4 Pm 3.56, 8 Dy 3.57

Summary:
Calculated total energy, eV/atom: -4.604
Total magnetization, μB per formula unit: 0.00
ΔE to the lowest computed polymorph, meV per atom: 0.0

***

(5)
The following is a PBE calculation of crystalline Tb4Pm5Dy2 at its relaxed geometry, from Alexandria.

Cell: 17.7002 3.5531 11.6416 Å, 90.00 94.04 90.00°
Closest atoms and distances in Å follow each position.
Space group C2/m (No. 12)
Inequivalent atoms, fractional coordinates:
1 Tb 0.0359 0.0000 0.2601 (multiplicity 4)  5 Pm 3.31-3.53, 4 Tb 3.55-3.61
2 Tb 0.1407 0.5000 0.7954 (multiplicity 4)  6 Pm 3.48-3.68, 4 Tb 3.55-3.61, 2 Dy 3.64
3 Pm 0.0000 0.5000 0.0000 (multiplicity 2)  6 Tb 3.53-3.57, 6 Pm 3.55-3.64
4 Pm 0.0964 0.0000 0.5360 (multiplicity 4)  4 Tb 3.31-3.54, 3 Pm 3.45-3.55, 3 Dy 3.48-3.57
5 Pm 0.1769 0.0000 0.0706 (multiplicity 4)  4 Tb 3.45-3.68, 6 Pm 3.55-3.64, 2 Dy 3.76
6 Dy 0.2158 0.5000 0.3535 (multiplicity 4)  5 Pm 3.48-3.76, 2 Dy 3.55, 4 Tb 3.64-3.74

Summary:
Calculated total energy, eV/atom: -4.607
Total magnetization, μB per formula unit: 0.00
ΔE to the lowest computed polymorph, meV per atom: 0.0

***

(6)
The following is a PBE calculation of crystalline TbPmDy2 at its relaxed geometry, from Alexandria.

Cell: 3.5727 3.5727 10.1044 Å, 90.00 90.00 90.00°
Closest atoms and distances in Å follow each position.
Space group P4/mmm (No. 123)
Inequivalent atoms, fractional coordinates:
1 Tb 0.0000 0.0000 0.0000 (multiplicity 1)  8 Dy 3.55, 4 Tb 3.57
2 Pm 0.0000 0.0000 0.5000 (multiplicity 1)  4 Pm 3.57, 8 Dy 3.59
3 Dy 0.5000 0.5000 0.2470 (multiplicity 2)  4 Tb 3.55, 4 Dy 3.57, 4 Pm 3.59

Summary:
Calculated total energy, eV/atom: -4.628
Total magnetization, μB per formula unit: 0.00
ΔE to the lowest computed polymorph, meV per atom: 3.8

***

(7)
The following is a PBE calculation of crystalline Tb3Pm8Dy2 at its relaxed geometry, from Alexandria.

Cell: 7.7207 20.3519 5.7241 Å, 90.00 90.00 90.00°
Closest atoms and distances in Å follow each position.
Space group Cmmm (No. 65)
Inequivalent atoms, fractional coordinates:
1 Tb 0.0000 0.0000 0.0000 (multiplicity 2)  4 Pm 3.14
2 Tb 0.2131 0.5000 0.5000 (multiplicity 4)  3 Tb 3.29-3.62, 6 Pm 3.48-3.59
3 Pm 0.0000 0.1320 0.5000 (multiplicity 4)  2 Tb 3.48, 2 Dy 3.61, 4 Pm 3.69
4 Pm 0.0000 0.3275 0.5000 (multiplicity 4)  2 Dy 3.37, 4 Pm 3.54
5 Pm 0.2061 0.3936 0.0000 (multiplicity 8)  1 Tb 3.14, 1 Pm 3.18, 1 Dy 3.50
6 Dy 0.0000 0.2402 0.0000 (multiplicity 4)  8 Pm 3.37-3.61

Summary:
Calculated total energy, eV/atom: -4.489
Total magnetization, μB per formula unit: 0.00
ΔE to the lowest computed polymorph, meV per atom: 196.0

***

(8)
The following is a PBE calculation of crystalline Tb2PmDy at its relaxed geometry, from Alexandria.

Cell: 5.0571 5.0571 5.0616 Å, 90.00 90.00 90.00°
Closest atoms and distances in Å follow each position.
Space group P4/mmm (No. 123)
Inequivalent atoms, fractional coordinates:
1 Tb 0.0000 0.5000 0.0000 (multiplicity 2)  4 Tb 3.58, 4 Dy 3.58, 4 Pm 3.58
2 Pm 0.0000 0.0000 0.5000 (multiplicity 1)  4 Dy 3.58, 8 Tb 3.58
3 Dy 0.5000 0.5000 0.5000 (multiplicity 1)  4 Pm 3.58, 8 Tb 3.58

Summary:
Calculated total energy, eV/atom: -4.635
Total magnetization, μB per formula unit: 0.00
ΔE to the lowest computed polymorph, meV per atom: 4.9